Compound: AlIN2O
Source: Alexandria
Functional: PBE
Structure: optimized geometry

The calculation puts the density of states at the Fermi level at 2.577 states/eV per cell. The crystal system is tetragonal. The formation energy without anion corrections comes out at 2.046 eV/atom. Its spin magnetization is 1.08 μB/f.u.

It has space group P4/mmm (No. 123), with a = 4.047 Å, b = 4.047 Å, c = 4.221 Å, α = 90.00°, β = 90.00° and γ = 90.00°. The distinct sites, in fractional coordinates, are Al at (0.000, 0.000, 0.000), I at (0.500, 0.500, 0.000), N at (0.000, 0.500, 0.500) and O at (0.500, 0.500, 0.500).

=====

Compound: AlINO2
Source: Alexandria
Functional: PBE
Structure: optimized geometry

The calculation puts the density of states at the Fermi level at 2.355 states/eV per cell. The crystal system is tetragonal. The formation energy without anion corrections comes out at 0.678 eV/atom. Its spin magnetization is 0.00 μB/f.u.

It has space group P4/mmm (No. 123), with a = 4.089 Å, b = 4.089 Å, c = 4.273 Å, α = 90.00°, β = 90.00° and γ = 90.00°. The distinct sites, in fractional coordinates, are Al at (0.000, 0.000, 0.000), I at (0.500, 0.500, 0.500), N at (0.500, 0.500, 0.000) and O at (0.000, 0.500, 0.500).

=====

Compound: AlOsI2N
Source: Alexandria
Functional: PBE
Structure: optimized geometry

The calculation puts the density of states at the Fermi level at 1.974 states/eV per cell. The crystal system is tetragonal. The formation energy without anion corrections comes out at 0.467 eV/atom. Its spin magnetization is 0.00 μB/f.u.

It has space group P4/mmm (No. 123), with a = 5.648 Å, b = 5.648 Å, c = 3.761 Å, α = 90.00°, β = 90.00° and γ = 90.00°. The distinct sites, in fractional coordinates, are Al at (0.000, 0.000, 0.000), Os at (0.500, 0.500, 0.500), I at (0.000, 0.500, 0.500) and N at (0.500, 0.500, 0.000).

=====

Compound: AlOsIN2
Source: Alexandria
Functional: PBE
Structure: optimized geometry

The calculation puts the density of states at the Fermi level at 3.691 states/eV per cell. The crystal system is tetragonal. The formation energy without anion corrections comes out at 1.592 eV/atom. Its spin magnetization is 2.68 μB/f.u.

It has space group P4/mmm (No. 123), with a = 3.748 Å, b = 3.748 Å, c = 6.370 Å, α = 90.00°, β = 90.00° and γ = 90.00°. The distinct sites, in fractional coordinates, are Al at (0.000, 0.000, 0.000), Os at (0.500, 0.500, 0.500), I at (0.000, 0.000, 0.500) and N at (0.000, 0.500, 0.000).

=====

Compound: AlOsI2N
Source: Alexandria
Functional: PBE
Structure: optimized geometry

The calculation puts the density of states at the Fermi level at 5.738 states/eV per cell. The crystal system is tetragonal. The formation energy without anion corrections comes out at 1.191 eV/atom. Its spin magnetization is 0.40 μB/f.u.

It has space group P4/mmm (No. 123), with a = 5.479 Å, b = 5.479 Å, c = 3.420 Å, α = 90.00°, β = 90.00° and γ = 90.00°. The distinct sites, in fractional coordinates, are Al at (0.000, 0.000, 0.000), Os at (0.500, 0.500, 0.500), I at (0.000, 0.500, 0.000) and N at (0.000, 0.000, 0.500).

=====

Compound: AlOsIN2
Source: Alexandria
Functional: PBE
Structure: optimized geometry

The calculation puts the density of states at the Fermi level at 2.696 states/eV per cell. The crystal system is tetragonal. The formation energy without anion corrections comes out at 0.907 eV/atom. Its spin magnetization is 0.00 μB/f.u.

It has space group P4/mmm (No. 123), with a = 3.914 Å, b = 3.914 Å, c = 5.773 Å, α = 90.00°, β = 90.00° and γ = 90.00°. The distinct sites, in fractional coordinates, are Al at (0.000, 0.000, 0.000), Os at (0.500, 0.500, 0.500), I at (0.500, 0.500, 0.000) and N at (0.000, 0.500, 0.500).

=====

Please write out number 2 again, unchanged.
Compound: AlINO2
Source: Alexandria
Functional: PBE
Structure: optimized geometry

The calculation puts the density of states at the Fermi level at 2.355 states/eV per cell. The crystal system is tetragonal. The formation energy without anion corrections comes out at 0.678 eV/atom. Its spin magnetization is 0.00 μB/f.u.

It has space group P4/mmm (No. 123), with a = 4.089 Å, b = 4.089 Å, c = 4.273 Å, α = 90.00°, β = 90.00° and γ = 90.00°. The distinct sites, in fractional coordinates, are Al at (0.000, 0.000, 0.000), I at (0.500, 0.500, 0.500), N at (0.500, 0.500, 0.000) and O at (0.000, 0.500, 0.500).

=====

- The highest formation energy without anion corrections belongs to which entry?
  AlIN2O